# Mg3Sc

Mg3Sc after structural relaxation (PBE, Alexandria via LeMat-Bulk).

For the formation energy, the calculation gives -13 kJ/mol of formula units.

The structure belongs to space group Cmcm (No. 63); the cell edges are 6.9606, 10.5640 and 5.0042 Å and the angles 90.00°, 90.00° and 90.00°. Symmetry generates all atoms from Mg at (0.0000, 0.1679, 0.2500), Mg at (0.2275, 0.1009, 0.7500) and Sc at (0.0000, 0.3679, 0.7500).



# CoTcTe

CoTcTe after structural relaxation (PBE, Alexandria via LeMat-Bulk).

Its raw formation energy is 425 meV per atom. For the distance to the lowest polymorph of the same formula, the calculation gives 0.066 eV/atom.

The structure belongs to space group I4mm (No. 107); the cell edges are 3.2585, 3.2585 and 8.9346 Å and the angles 90.00°, 90.00° and 90.00°. Symmetry generates all atoms from Co at (0.0000, 0.0000, 0.0000), Tc at (0.0000, 0.0000, 0.6656) and Te at (0.0000, 0.0000, 0.3335).



# ZrNiAg

ZrNiAg after structural relaxation (PBE, Alexandria via LeMat-Bulk).

For the formation energy, the calculation gives 133 kJ/mol of formula units. For the distance to the lowest polymorph of the same formula, the calculation gives 0.707 eV/atom.

The structure belongs to space group F-43m (No. 216); the cell edges are 6.2874, 6.2874 and 6.2874 Å and the angles 90.00°, 90.00° and 90.00°. Symmetry generates all atoms from Zr at (0.0000, 0.0000, 0.0000), Ni at (0.2500, 0.2500, 0.7500) and Ag at (0.2500, 0.2500, 0.2500).



# Ac2GaAsPt6

Ac2GaAsPt6 after structural relaxation (PBE, Alexandria via LeMat-Bulk).

For the formation energy, the calculation gives -833 kJ/mol of formula units.

The structure belongs to space group C2/m (No. 12); the cell edges are 12.2745, 5.5963 and 8.5153 Å and the angles 90.00°, 132.23° and 90.00°. Symmetry generates all atoms from Ac at (0.2462, 0.0000, 0.2070), Ga at (0.0000, 0.5000, 0.0000), As at (0.0000, 0.0000, 0.5000), Pt at (0.0071, 0.2504, 0.2578) and Pt at (0.2479, 0.5000, 0.3846).



# LaTaW

LaTaW after structural relaxation (PBE, Alexandria via LeMat-Bulk).

For the formation energy, the calculation gives 241 kJ/mol of formula units. For the distance to the lowest polymorph of the same formula, the calculation gives 0.405 eV/atom.

The structure belongs to space group F-43m (No. 216); the cell edges are 6.6371, 6.6371 and 6.6371 Å and the angles 90.00°, 90.00° and 90.00°. Symmetry generates all atoms from La at (0.0000, 0.0000, 0.0000), Ta at (0.0000, 0.0000, 0.5000) and W at (0.2500, 0.2500, 0.7500).



# MnAlInCl6

MnAlInCl6 after structural relaxation (PBE, Alexandria via LeMat-Bulk).

Its raw formation energy is -1219 meV per atom.

The structure belongs to space group P312 (No. 149); the cell edges are 6.4033, 6.4033 and 7.1013 Å and the angles 90.00°, 90.00° and 120.00°. Symmetry generates all atoms from Mn at (0.0000, 0.0000, 0.0000), Al at (0.3333, 0.6667, 0.0000), In at (0.6667, 0.3333, 0.5000) and Cl at (0.0476, 0.3550, 0.1924).



# LaZrW

LaZrW after structural relaxation (PBE, Alexandria via LeMat-Bulk).

For the formation energy, the calculation gives 140 kJ/mol of formula units. For the distance to the lowest polymorph of the same formula, the calculation gives 0.087 eV/atom.

The structure belongs to space group Fmm2 (No. 42); the cell edges are 3.5156, 5.0972 and 15.7380 Å and the angles 90.00°, 90.00° and 90.00°. Symmetry generates all atoms from La at (0.0000, 0.0000, 0.0000), Zr at (0.0000, 0.0000, 0.7101) and W at (0.0000, 0.0000, 0.3429).



# SmDy2Sn

SmDy2Sn after structural relaxation (PBE, Alexandria via LeMat-Bulk).

For the formation energy, the calculation gives 19 kJ/mol of formula units. For the distance to the lowest polymorph of the same formula, the calculation gives 0.474 eV/atom.

The structure belongs to space group R-3m (No. 166, hexagonal axes); the cell edges are 3.5213, 3.5213 and 35.9377 Å and the angles 90.00°, 90.00° and 120.00°. Symmetry generates all atoms from Sm at (0.0000, 0.0000, 0.0000), Dy at (0.0000, 0.0000, 0.4134) and Sn at (0.0000, 0.0000, 0.5000).



# NiOs2

NiOs2 after structural relaxation (PBE, Alexandria via LeMat-Bulk).

For the formation energy, the calculation gives 49 kJ/mol of formula units. For the distance to the lowest polymorph of the same formula, the calculation gives 0.129 eV/atom.

The structure belongs to space group Cmcm (No. 63); the cell edges are 3.7642, 11.3506 and 3.7496 Å and the angles 90.00°, 90.00° and 90.00°. Symmetry generates all atoms from Ni at (0.0000, 0.0837, 0.2500), Os at (0.0000, 0.2443, 0.7500) and Os at (0.0000, 0.4159, 0.2500).



# YTi2AuI

YTi2AuI after structural relaxation (PBE, Alexandria via LeMat-Bulk).

Its raw formation energy is 1212 meV per atom.

The structure belongs to space group P4/mmm (No. 123); the cell edges are 5.3547, 5.3547 and 5.3167 Å and the angles 90.00°, 90.00° and 90.00°. Symmetry generates all atoms from Y at (0.0000, 0.0000, 0.0000), Ti at (0.0000, 0.5000, 0.0000), Au at (0.0000, 0.0000, 0.5000) and I at (0.5000, 0.5000, 0.5000).



# Dy2Ho6Tm3Tl

Dy2Ho6Tm3Tl after structural relaxation (PBE, Alexandria via LeMat-Bulk).

For the formation energy, the calculation gives -16 kJ/mol of formula units.

The structure belongs to space group C2/m (No. 12); the cell edges are 6.0404, 10.4724 and 11.5712 Å and the angles 90.00°, 100.10° and 90.00°. Symmetry generates all atoms from Dy at (0.0000, 0.1660, 0.0000), Ho at (0.2474, 0.5000, 0.7492), Ho at (0.2477, 0.3349, 0.2494), Tm at (0.0000, 0.0000, 0.5000), Tm at (0.0000, 0.3333, 0.5000) and Tl at (0.0000, 0.5000, 0.0000).



# KZr3Mn

KZr3Mn after structural relaxation (PBE, Alexandria via LeMat-Bulk).

For the formation energy, the calculation gives 1170 kJ/mol of formula units. For the distance to the lowest polymorph of the same formula, the calculation gives 1.778 eV/atom.

The structure belongs to space group Pm-3m (No. 221); the cell edges are 4.7947, 4.7947 and 4.7947 Å and the angles 90.00°, 90.00° and 90.00°. Symmetry generates all atoms from K at (0.0000, 0.0000, 0.0000), Zr at (0.0000, 0.0000, 0.5000) and Mn at (0.5000, 0.5000, 0.5000).



| no. | VASP energy (eV per atom) | calculated volume (Å³ per atom) |
| --- | --- | --- |
| 1 | -2.813 | 23.00 |
| 2 | -6.446 | 15.81 |
| 3 | -5.268 | 20.71 |
| 4 | -6.078 | 21.66 |
| 5 | -9.080 | 24.36 |
| 6 | -4.189 | 28.02 |
| 7 | -8.325 | 23.50 |
| 8 | -4.433 | 32.16 |
| 9 | -9.245 | 13.35 |
| 10 | -4.204 | 30.49 |
| 11 | -4.385 | 30.03 |
| 12 | -4.756 | 22.04 |